VASP calculation (GGA-PBE) on a geometry-optimized CePa3Se6 structure.

As for the uncorrected formation energy: -1.13 eV per atom. Its density of states at the Fermi level is 21.53 states/eV/f.u.

It has space group Cmmm (No. 65), with a = 10.172 Å, b = 14.178 Å, c = 4.357 Å, α = 90.00°, β = 90.00° and γ = 90.00°. The asymmetric unit holds Ce at (0.000, 0.000, 0.000), Pa at (0.000, 0.500, 0.000), Pa at (0.250, 0.250, 0.500), Se at (0.000, 0.151, 0.500) and Se at (0.216, 0.378, 0.000).